The following is a DFT calculation (PBE) of a relaxed structure of Li5CuAg.

Summary:
**ΔE to the lowest computed polymorph**: 4 meV/atom
**Formation enthalpy at 0 K**: 0.00 eV/atom
**V**: 122.7 Å³ per cell
**Total magnetization**: 0.000 Bohr magnetons per cell
**Space-group type**: Cmmm (65)
**Calculated total energy**: -2.3622 eV per atom

Lattice parameters (Å, degrees): 4.185 4.185 7.007 90.00 90.00 90.07
Element x y z (fractional)
1 Li 0.000 0.000 0.000
2 Li 0.000 0.500 0.261
3 Li 0.000 0.500 0.739
4 Li 0.500 0.000 0.261
5 Li 0.500 0.000 0.739
6 Cu 0.500 0.500 0.000
7 Ag 0.000 0.000 0.500